{
  "formula": "CsZnAs",
  "functional": "PBE",
  "state": "optimized geometry",
  "spacegroup": "No. 8",
  "delta_e_f_kj_per_mol_atoms": -35.2,
  "final_energy_ev_per_atom": -2.62,
  "lattice": [[27.928, 0.000, -0.007], [9.053, 2.147, -2.332], [-9.053, 2.147, 2.332]],
  "species": ["As", "As", "Zn", "Zn", "Cs", "Cs"],
  "frac_coords": [[0.593, 0.117, 0.883], [0.750, 0.198, 0.802], [0.697, 0.412, 0.588], [0.643, 0.907, 0.093], [0.169, 0.164, 0.836], [0.680, 0.644, 0.356]]
}